! Cd2AgIrRu meta-GGA SCAN single point on PBEsol structure; values from VASP
! Fermi-level density of states = 0.624 states/eV/atom
! E = -38.667 eV/atom
&SYSTEM
  ibrav = 0, nat = 5, ntyp = 4
/
ATOMIC_SPECIES
Ru 101.07 Ru.upf
Ir 192.22 Ir.upf
Ag 107.87 Ag.upf
Cd 112.41 Cd.upf
CELL_PARAMETERS angstrom
4.597 0.000 0.000
0.000 5.039 0.000
0.000 0.000 5.039
ATOMIC_POSITIONS angstrom
Ru 2.299 0.000 0.000
Ir 0.000 0.000 0.000
Ag 2.299 2.519 2.519
Cd 0.000 0.000 2.519
Cd 0.000 2.519 0.000

=====

! KCdAg meta-GGA SCAN single point on PBEsol structure; values from VASP
! Fermi-level density of states = 0.459 states/eV/atom
! energy above the lowest structure with this stoichiometry = 0.204 eV per atom
&SYSTEM
  ibrav = 0, nat = 3, ntyp = 3
/
ATOMIC_SPECIES
Ag 107.87 Ag.upf
Cd 112.41 Cd.upf
K 39.10 K.upf
CELL_PARAMETERS angstrom
-1.018 4.802 -1.305
-4.815 1.596 -0.254
-1.784 3.252 3.471
ATOMIC_POSITIONS angstrom
Ag -3.809 4.825 0.956
Cd -1.904 2.413 0.478
K 0.000 0.000 0.000

=====

Fermi-level density of states of number 1 (Cd2AgIrRu)? 0.624 states/eV/atom